1.
A plane-wave DFT calculation with PBE was carried out for crystalline Ho2NpHgO8 at its relaxed geometry.

Values from the calculation:
* V: 15.08 A^3/atom
* raw formation energy: -2.429 eV/atom
* total DFT energy (no corrections): -7.601 eV/atom
* symmetry: No. 2

Lattice parameters (Å, degrees): 5.037 5.041 7.167 86.40 86.49 86.58
Sites, in units of the cell vectors:
Ho 0.022 0.022 0.242
Ho 0.978 0.978 0.758
Np 0.500 0.500 0.500
Hg 0.500 0.500 0.000
O 0.192 0.807 0.000
O 0.206 0.791 0.500
O 0.295 0.292 0.681
O 0.327 0.326 0.268
O 0.673 0.674 0.732
O 0.705 0.708 0.319
O 0.794 0.209 0.500
O 0.808 0.193 0.000

=====

2.
A plane-wave DFT calculation with PBE was carried out for crystalline RbNa2SbBr8 at its relaxed geometry.

Values from the calculation:
* V: 35.96 A^3/atom
* raw formation energy: -0.943 eV/atom
* total DFT energy (no corrections): -2.702 eV/atom
* symmetry: No. 2

Lattice parameters (Å, degrees): 6.221 6.984 9.958 90.04 90.15 94.24
Sites, in units of the cell vectors:
Rb 0.000 0.000 0.000
Na 0.499 0.500 0.734
Na 0.501 0.500 0.266
Sb 0.000 0.000 0.500
Br 0.228 0.847 0.299
Br 0.230 0.849 0.701
Br 0.250 0.491 0.000
Br 0.264 0.328 0.499
Br 0.736 0.672 0.501
Br 0.750 0.509 0.000
Br 0.770 0.151 0.299
Br 0.772 0.153 0.701

=====

3.
A plane-wave DFT calculation with PBE was carried out for crystalline LiTbCu4 at its relaxed geometry.

Values from the calculation:
* V: 15.28 A^3/atom
* total DFT energy (no corrections): -4.000 eV/atom
* symmetry: No. 216
* energy relative to the elements: -17.2 kJ/mol of atoms

Lattice parameters (Å, degrees): 5.061 5.061 5.061 60.00 60.00 60.00
Sites, in units of the cell vectors:
Li 0.000 0.000 0.000
Tb 0.250 0.250 0.250
Cu 0.121 0.626 0.626
Cu 0.626 0.121 0.626
Cu 0.626 0.626 0.121
Cu 0.626 0.626 0.626

=====

Repeat the second record exactly.
A plane-wave DFT calculation with PBE was carried out for crystalline RbNa2SbBr8 at its relaxed geometry.

Values from the calculation:
* V: 35.96 A^3/atom
* raw formation energy: -0.943 eV/atom
* total DFT energy (no corrections): -2.702 eV/atom
* symmetry: No. 2

Lattice parameters (Å, degrees): 6.221 6.984 9.958 90.04 90.15 94.24
Sites, in units of the cell vectors:
Rb 0.000 0.000 0.000
Na 0.499 0.500 0.734
Na 0.501 0.500 0.266
Sb 0.000 0.000 0.500
Br 0.228 0.847 0.299
Br 0.230 0.849 0.701
Br 0.250 0.491 0.000
Br 0.264 0.328 0.499
Br 0.736 0.672 0.501
Br 0.750 0.509 0.000
Br 0.770 0.151 0.299
Br 0.772 0.153 0.701